# 1
This record from the Alexandria database describes Cs2PtF6 at its PBEsol-relaxed geometry. The functional is meta-GGA SCAN.

For the final energy, the calculation gives -0.76910 Ha/atom. As for the energy relative to the elements, uncorrected: -2367 meV/atom. The density of states at the Fermi level is 0.000 states/eV/cell.

The space group is Fm-3m (No. 225) and the conventional cell measures 8.943, 8.943 and 8.943 Å, with angles of 90.00, 90.00 and 90.00 degrees. Symmetry generates all atoms from Cs at (0.250, 0.250, 0.250), Pt at (0.000, 0.000, 0.000) and F at (0.000, 0.000, 0.218).

***

# 2
This record from the Alexandria database describes Cs2PtF6 at its PBEsol-relaxed geometry. The functional is meta-GGA SCAN.

For the final energy, the calculation gives -0.76917 Ha/atom. As for the energy relative to the elements, uncorrected: -2369 meV/atom. The density of states at the Fermi level is 0.000 states/eV/cell.

The space group is P-3m1 (No. 164) and the conventional cell measures 6.1667, 6.1667 and 4.9879 Å, with angles of 90.00, 90.00 and 120.00 degrees. Symmetry generates all atoms from Cs at (0.3333, 0.6667, 0.2075), Pt at (0.0000, 0.0000, 0.5000) and F at (0.1532, 0.3065, 0.7143).

***

# 3
This record from the Alexandria database describes Cs2PtSeF at its PBEsol-relaxed geometry. The functional is meta-GGA SCAN.

For the final energy, the calculation gives -1.28459 Ha/atom. As for the energy relative to the elements, uncorrected: -1069 meV/atom. The density of states at the Fermi level is 1.106 states/eV/cell.

The space group is P4/mmm (No. 123) and the conventional cell measures 6.763, 6.763 and 4.500 Å, with angles of 90.00, 90.00 and 90.00 degrees. Symmetry generates all atoms from Cs at (0.000, 0.500, 0.000), Pt at (0.000, 0.000, 0.500), Se at (0.000, 0.000, 0.000) and F at (0.500, 0.500, 0.500).

***

# 4
This record from the Alexandria database describes Cs2RbF at its PBEsol-relaxed geometry. The functional is meta-GGA SCAN.

For the final energy, the calculation gives -0.96830 Ha/atom. As for the energy relative to the elements, uncorrected: -1374 meV/atom. The density of states at the Fermi level is 6.595 states/eV/cell.

The space group is I-42d (No. 122) and the conventional cell measures 9.142, 9.142 and 12.909 Å, with angles of 90.00, 90.00 and 90.00 degrees. Symmetry generates all atoms from Cs at (0.014, 0.750, 0.125), Rb at (0.000, 0.000, 0.500) and F at (0.000, 0.000, 0.000).

***

# 5
This record from the Alexandria database describes Cs2RbScF6 at its PBEsol-relaxed geometry. The functional is meta-GGA SCAN.

For the final energy, the calculation gives -0.61431 Ha/atom. As for the energy relative to the elements, uncorrected: -3532 meV/atom. The density of states at the Fermi level is 0.000 states/eV/cell.

The space group is Fm-3m (No. 225) and the conventional cell measures 9.322, 9.322 and 9.322 Å, with angles of 90.00, 90.00 and 90.00 degrees. Symmetry generates all atoms from Cs at (0.250, 0.250, 0.250), Rb at (0.000, 0.000, 0.000), Sc at (0.000, 0.000, 0.500) and F at (0.000, 0.000, 0.284).

***

# 6
This record from the Alexandria database describes Cs2RbTlF6 at its PBEsol-relaxed geometry. The functional is meta-GGA SCAN.

For the final energy, the calculation gives -0.79337 Ha/atom. As for the energy relative to the elements, uncorrected: -2593 meV/atom. The density of states at the Fermi level is 0.000 states/eV/cell.

The space group is Fm-3m (No. 225) and the conventional cell measures 9.560, 9.560 and 9.560 Å, with angles of 90.00, 90.00 and 90.00 degrees. Symmetry generates all atoms from Cs at (0.250, 0.250, 0.250), Rb at (0.000, 0.000, 0.000), Tl at (0.000, 0.000, 0.500) and F at (0.000, 0.000, 0.273).

***

# 7
This record from the Alexandria database describes Cs3ReF at its PBEsol-relaxed geometry. The functional is meta-GGA SCAN.

For the final energy, the calculation gives -1.36062 Ha/atom. As for the energy relative to the elements, uncorrected: 589 meV/atom. The density of states at the Fermi level is 2.780 states/eV/cell.

The space group is Pm-3m (No. 221) and the conventional cell measures 5.753, 5.753 and 5.753 Å, with angles of 90.00, 90.00 and 90.00 degrees. Symmetry generates all atoms from Cs at (0.000, 0.000, 0.500), Re at (0.000, 0.000, 0.000) and F at (0.500, 0.500, 0.500).

***

# 8
This record from the Alexandria database describes CsRu2F at its PBEsol-relaxed geometry. The functional is meta-GGA SCAN.

For the final energy, the calculation gives -0.96338 Ha/atom. As for the energy relative to the elements, uncorrected: 1536 meV/atom. The density of states at the Fermi level is 17.099 states/eV/cell.

The space group is Fm-3m (No. 225) and the conventional cell measures 6.292, 6.292 and 6.292 Å, with angles of 90.00, 90.00 and 90.00 degrees. Symmetry generates all atoms from Cs at (0.000, 0.000, 0.000), Ru at (0.250, 0.250, 0.250) and F at (0.000, 0.000, 0.500).

***

# 9
This record from the Alexandria database describes CsRuF6 at its PBEsol-relaxed geometry. The functional is meta-GGA SCAN.

For the final energy, the calculation gives -0.51699 Ha/atom. As for the energy relative to the elements, uncorrected: -2333 meV/atom. The density of states at the Fermi level is 0.000 states/eV/cell.

The space group is R-3m (No. 166, hexagonal axes) and the conventional cell measures 7.9412, 7.9412 and 7.8907 Å, with angles of 90.00, 90.00 and 120.00 degrees. Symmetry generates all atoms from Cs at (0.0000, 0.0000, 0.0000), Ru at (0.0000, 0.0000, 0.5000) and F at (0.1102, 0.2204, 0.6392).

***

# 10
This record from the Alexandria database describes Cs2RuSeF at its PBEsol-relaxed geometry. The functional is meta-GGA SCAN.

For the final energy, the calculation gives -1.00455 Ha/atom. As for the energy relative to the elements, uncorrected: -522 meV/atom. The density of states at the Fermi level is 2.163 states/eV/cell.

The space group is P4/mmm (No. 123) and the conventional cell measures 5.958, 5.958 and 4.120 Å, with angles of 90.00, 90.00 and 90.00 degrees. Symmetry generates all atoms from Cs at (0.000, 0.500, 0.000), Ru at (0.000, 0.000, 0.500), Se at (0.500, 0.500, 0.500) and F at (0.000, 0.000, 0.000).

***

# 11
This record from the Alexandria database describes Cs2TlRuF6 at its PBEsol-relaxed geometry. The functional is meta-GGA SCAN.

For the final energy, the calculation gives -0.83610 Ha/atom. As for the energy relative to the elements, uncorrected: -2347 meV/atom. The density of states at the Fermi level is 45.358 states/eV/cell.

The space group is Fm-3m (No. 225) and the conventional cell measures 9.198, 9.198 and 9.198 Å, with angles of 90.00, 90.00 and 90.00 degrees. Symmetry generates all atoms from Cs at (0.250, 0.250, 0.250), Tl at (0.000, 0.000, 0.000), Ru at (0.000, 0.000, 0.500) and F at (0.000, 0.000, 0.283).

***

# 12
This record from the Alexandria database describes CsS2F2 at its PBEsol-relaxed geometry. The functional is meta-GGA SCAN.

For the final energy, the calculation gives -0.50416 Ha/atom. As for the energy relative to the elements, uncorrected: -889 meV/atom. The density of states at the Fermi level is 6.637 states/eV/cell.

The space group is I4/mmm (No. 139) and the conventional cell measures 3.381, 3.381 and 15.397 Å, with angles of 90.00, 90.00 and 90.00 degrees. Symmetry generates all atoms from Cs at (0.000, 0.000, 0.000), S at (0.000, 0.500, 0.250) and F at (0.000, 0.000, 0.390).

***

# 13
This record from the Alexandria database describes CsSbF4 at its PBEsol-relaxed geometry. The functional is meta-GGA SCAN.

For the final energy, the calculation gives -0.64540 Ha/atom. As for the energy relative to the elements, uncorrected: -2690 meV/atom. The density of states at the Fermi level is 0.000 states/eV/cell.

The space group is Pbam (No. 55) and the conventional cell measures 9.596, 15.543 and 6.268 Å, with angles of 90.00, 90.00 and 90.00 degrees. Symmetry generates all atoms from Cs at (0.095, 0.114, 0.000), Cs at (0.139, 0.760, 0.500), Sb at (0.033, 0.371, 0.000), Sb at (0.212, 0.495, 0.500), F at (0.112, 0.293, 0.228), F at (0.113, 0.717, 0.000), F at (0.117, 0.580, 0.245), F at (0.160, 0.949, 0.274) and F at (0.165, 0.096, 0.500).

***

# 14
This record from the Alexandria database describes Cs2SbF5 at its PBEsol-relaxed geometry. The functional is meta-GGA SCAN.

For the final energy, the calculation gives -0.70242 Ha/atom. As for the energy relative to the elements, uncorrected: -2791 meV/atom. Its energy relative to the lowest polymorph listed for this composition is 0.0 kJ per mole of atoms. The density of states at the Fermi level is 0.000 states/eV/cell.

The space group is Cmcm (No. 63) and the conventional cell measures 6.612, 14.286 and 7.071 Å, with angles of 90.00, 90.00 and 90.00 degrees. Symmetry generates all atoms from Cs at (0.000, 0.058, 0.250), Cs at (0.000, 0.259, 0.750), Sb at (0.000, 0.410, 0.250), F at (0.000, 0.271, 0.250) and F at (0.225, 0.385, 0.047).

***

# 15
This record from the Alexandria database describes Cs3SbF6 at its PBEsol-relaxed geometry. The functional is meta-GGA SCAN.

For the final energy, the calculation gives -0.73073 Ha/atom. As for the energy relative to the elements, uncorrected: -2691 meV/atom. The density of states at the Fermi level is 0.000 states/eV/cell.

The space group is Fm-3m (No. 225) and the conventional cell measures 9.896, 9.896 and 9.896 Å, with angles of 90.00, 90.00 and 90.00 degrees. Symmetry generates all atoms from Cs at (0.000, 0.000, 0.000), Cs at (0.250, 0.250, 0.250), Sb at (0.000, 0.000, 0.500) and F at (0.000, 0.000, 0.279).

***

# 16
This record from the Alexandria database describes Cs2SbF5 at its PBEsol-relaxed geometry. The functional is meta-GGA SCAN.

For the final energy, the calculation gives -0.69975 Ha/atom. As for the energy relative to the elements, uncorrected: -2718 meV/atom. Its energy relative to the lowest polymorph listed for this composition is 7.0 kJ per mole of atoms. The density of states at the Fermi level is 0.000 states/eV/cell.

The space group is Pnma (No. 62) and the conventional cell measures 8.944, 6.498 and 11.680 Å, with angles of 90.00, 90.00 and 90.00 degrees. Symmetry generates all atoms from Cs at (0.005, 0.250, 0.234), Cs at (0.183, 0.250, 0.578), Sb at (0.169, 0.250, 0.932), F at (0.000, 0.000, 0.000), F at (0.020, 0.250, 0.800), F at (0.111, 0.750, 0.536) and F at (0.236, 0.521, 0.336).

***

# 17
This record from the Alexandria database describes CsSc2F at its PBEsol-relaxed geometry. The functional is meta-GGA SCAN.

For the final energy, the calculation gives -0.66843 Ha/atom. As for the energy relative to the elements, uncorrected: -733 meV/atom. The density of states at the Fermi level is 7.887 states/eV/cell.

The space group is R-3m (No. 166, hexagonal axes) and the conventional cell measures 3.4998, 3.4998 and 27.6628 Å, with angles of 90.00, 90.00 and 120.00 degrees. Symmetry generates all atoms from Cs at (0.0000, 0.0000, 0.0000), Sc at (0.0000, 0.0000, 0.1245) and F at (0.0000, 0.0000, 0.5000).

***

# 18
This record from the Alexandria database describes Cs2SnF6 at its PBEsol-relaxed geometry. The functional is meta-GGA SCAN.

For the final energy, the calculation gives -0.64990 Ha/atom. As for the energy relative to the elements, uncorrected: -2931 meV/atom. The density of states at the Fermi level is 0.000 states/eV/cell.

The space group is P-3m1 (No. 164) and the conventional cell measures 6.2683, 6.2683 and 5.0013 Å, with angles of 90.00, 90.00 and 120.00 degrees. Symmetry generates all atoms from Cs at (0.3333, 0.6667, 0.3022), Sn at (0.0000, 0.0000, 0.0000) and F at (0.1530, 0.3060, 0.7799).

***

# 19
This record from the Alexandria database describes CsSr3F at its PBEsol-relaxed geometry. The functional is meta-GGA SCAN.

For the final energy, the calculation gives -0.82395 Ha/atom. As for the energy relative to the elements, uncorrected: -786 meV/atom. The density of states at the Fermi level is 3.515 states/eV/cell.

The space group is Pm-3m (No. 221) and the conventional cell measures 5.982, 5.982 and 5.982 Å, with angles of 90.00, 90.00 and 90.00 degrees. Symmetry generates all atoms from Cs at (0.000, 0.000, 0.000), Sr at (0.000, 0.500, 0.500) and F at (0.500, 0.500, 0.500).

***

# 20
This record from the Alexandria database describes CsTbF5 at its PBEsol-relaxed geometry. The functional is meta-GGA SCAN.

For the final energy, the calculation gives -0.65863 Ha/atom. As for the energy relative to the elements, uncorrected: -3312 meV/atom. The density of states at the Fermi level is 21.019 states/eV/cell.

The space group is Cmce (No. 64) and the conventional cell measures 14.234, 8.324 and 8.335 Å, with angles of 90.00, 90.00 and 90.00 degrees. Symmetry generates all atoms from Cs at (0.194, 0.000, 0.000), Tb at (0.000, 0.161, 0.340), F at (0.000, 0.073, 0.792), F at (0.000, 0.209, 0.075), F at (0.098, 0.000, 0.500) and F at (0.153, 0.193, 0.314).

***

# 21
This record from the Alexandria database describes CsTc3F at its PBEsol-relaxed geometry. The functional is meta-GGA SCAN.

For the final energy, the calculation gives -1.00904 Ha/atom. As for the energy relative to the elements, uncorrected: 1849 meV/atom. The density of states at the Fermi level is 6.862 states/eV/cell.

The space group is Pm-3m (No. 221) and the conventional cell measures 4.438, 4.438 and 4.438 Å, with angles of 90.00, 90.00 and 90.00 degrees. Symmetry generates all atoms from Cs at (0.000, 0.000, 0.000), Tc at (0.000, 0.500, 0.500) and F at (0.500, 0.500, 0.500).